## SiPtRh2 (GGA-PBE)

Data for an optimized crystal structure of SiPtRh2.

Uncorrected energy: -6.53 eV/atom
Size of the total moment: 0.00 μB/cell

POSCAR file:
```
SiPtRh2
1.0
-2.188 -2.205 -2.012
2.619 -2.615 0.017
-3.272 -5.854 6.569
Si Rh Pt
2 4 2
Direct
0.500 0.500 0.000
0.250 0.750 0.500
0.618 0.125 0.250
0.132 0.625 0.250
0.375 0.382 0.750
0.875 0.868 0.750
0.000 0.000 0.000
0.750 0.250 0.500
```

***

## MgSc2Cl (GGA-PBE)

Data for an optimized crystal structure of MgSc2Cl.

Uncorrected energy: -4.14 eV/atom
Size of the total moment: 0.66 μB/cell
Excess energy over the best structure of this formula in the dataset: 0.494 eV per atom

POSCAR file:
```
MgSc2Cl
1.0
-0.754 -6.021 0.518
2.333 -3.972 -3.984
1.646 4.829 3.326
Cl Mg Sc
1 1 2
Direct
0.500 0.500 0.000
0.750 0.250 0.500
0.000 0.000 0.000
0.250 0.750 0.500
```